Compound: Ca2Nd7
Source: the Alexandria database
Functional: GGA-PBE
Structure: optimized geometry

## Properties
**Total magnetization**: 0.0 μB per cell
**Crystal system**: trigonal
**Theoretical density**: 5.525 Mg/m³
**Total energy**: -0.1508 hartree per atom
**Formation energy from the elements**: 0.05 eV per atom

Cell lengths 6.4470, 6.4470, 9.1002 Å; angles 90.00, 90.00, 120.00 degrees
Fractional coordinates of all 9 atoms:
Nd 0.0000 0.0000 0.0000
Nd 0.0000 0.3268 0.6593
Nd 0.3268 0.0000 0.6593
Nd 0.6732 0.0000 0.3407
Nd 0.3268 0.3268 0.3407
Nd 0.6732 0.6732 0.6593
Nd 0.0000 0.6732 0.3407
Ca 0.3333 0.6667 0.0000
Ca 0.6667 0.3333 0.0000

Compound: CaNd4
Source: the Alexandria database
Functional: GGA-PBE
Structure: optimized geometry

## Properties
**Total magnetization**: 0.0 μB per cell
**Crystal system**: monoclinic
**Offset from the most stable computed form**: 204.9 meV/atom
**Theoretical density**: 5.065 Mg/m³
**Total energy**: -0.1455 hartree per atom
**Formation energy from the elements**: 0.25 eV per atom

Cell lengths 5.9290, 7.2190, 9.4522 Å; angles 89.93, 90.00, 90.00 degrees
Fractional coordinates of all 10 atoms:
Nd 0.7502 0.7498 0.6873
Nd 0.2498 0.2502 0.3127
Nd 0.2527 0.9995 0.6360
Nd 0.7527 0.5005 0.3640
Nd 0.7473 0.0005 0.3640
Nd 0.2502 0.7502 0.3127
Nd 0.2473 0.4995 0.6360
Nd 0.7498 0.2498 0.6873
Ca 0.5000 0.5000 0.0000
Ca 0.0000 0.0000 0.0000

Compound: Ca6Nd
Source: the Alexandria database
Functional: GGA-PBE
Structure: optimized geometry

## Properties
**Total magnetization**: 0.0 μB per cell
**Crystal system**: cubic
**Theoretical density**: 1.832 Mg/m³
**Total energy**: -0.0466 hartree per atom
**Formation energy from the elements**: 1.13 eV per atom

Cell lengths 7.6793, 7.6793, 7.6793 Å; angles 109.47, 109.47, 109.47 degrees
Fractional coordinates of all 7 atoms:
Ca 0.7500 0.2500 0.5000
Ca 0.5000 0.2500 0.7500
Ca 0.5000 0.7500 0.2500
Ca 0.2500 0.7500 0.5000
Ca 0.2500 0.5000 0.7500
Ca 0.7500 0.5000 0.2500
Nd 0.0000 0.0000 0.0000